1.
A plane-wave DFT calculation with PBE was carried out for Nd2SmGa2Ni4 after structural relaxation.

Computed properties:
The calculated total energy comes out at -5.24 eV per atom. Its calculated volume is 18.86 A^3/atom.

a = 10.029 Å, b = 4.154 Å, c = 8.248 Å
α = 90.00°, β = 98.87°, γ = 90.00°
Space group C2/m (No. 12)
Unique sites:
Nd 0.124 0.000 0.379 (multiplicity 4)
Sm 0.000 0.500 0.000 (multiplicity 2)
Ga 0.178 0.000 0.784 (multiplicity 4)
Ni 0.083 0.500 0.636 (multiplicity 4)
Ni 0.238 0.000 0.085 (multiplicity 4)

2.
A plane-wave DFT calculation with PBE was carried out for GdEr2In3AgIr2 after structural relaxation.

Computed properties:
The calculated total energy comes out at -5.34 eV per atom. Its calculated volume is 21.91 A^3/atom.

a = 3.826 Å, b = 13.405 Å, c = 7.687 Å
α = 90.00°, β = 90.00°, γ = 90.00°
Space group Amm2 (No. 38)
Unique sites:
Gd 0.000 0.000 0.000 (multiplicity 2)
Er 0.000 0.206 0.381 (multiplicity 4)
In 0.500 0.000 0.321 (multiplicity 2)
In 0.500 0.135 0.721 (multiplicity 4)
Ag 0.000 0.000 0.586 (multiplicity 2)
Ir 0.500 0.168 0.089 (multiplicity 4)

3.
A plane-wave DFT calculation with PBE was carried out for LiLaAsIr after structural relaxation.

Computed properties:
Its calculated volume is 18.56 A^3/atom. As for the distance to the lowest polymorph of the same formula: 0 meV/atom.

a = 6.672 Å, b = 6.672 Å, c = 6.672 Å
α = 90.00°, β = 90.00°, γ = 90.00°
Space group F-43m (No. 216)
Unique sites:
Li 0.000 0.000 0.000 (multiplicity 4)
La 0.250 0.250 0.250 (multiplicity 4)
As 0.250 0.250 0.750 (multiplicity 4)
Ir 0.000 0.000 0.500 (multiplicity 4)

4.
A plane-wave DFT calculation with PBE was carried out for RbPmPt after structural relaxation.

Computed properties:
Its calculated volume is 31.93 A^3/atom. As for the distance to the lowest polymorph of the same formula: 0 meV/atom.

a = 7.263 Å, b = 7.263 Å, c = 7.263 Å
α = 90.00°, β = 90.00°, γ = 90.00°
Space group F-43m (No. 216)
Unique sites:
Rb 0.000 0.000 0.000 (multiplicity 4)
Pm 0.000 0.000 0.500 (multiplicity 4)
Pt 0.250 0.250 0.750 (multiplicity 4)

5.
A plane-wave DFT calculation with PBE was carried out for Lu4SnC2S after structural relaxation.

Computed properties:
The calculated total energy comes out at -6.55 eV per atom. Its calculated volume is 19.30 A^3/atom.

a = 3.5726 Å, b = 3.5726 Å, c = 13.9684 Å
α = 90.00°, β = 90.00°, γ = 120.00°
Space group P-6m2 (No. 187)
Unique sites:
Lu 0.0000 0.0000 0.1323 (multiplicity 2)
Lu 0.3333 0.6667 0.3167 (multiplicity 2)
Sn 0.0000 0.0000 0.5000 (multiplicity 1)
C 0.6667 0.3333 0.2260 (multiplicity 2)
S 0.3333 0.6667 0.0000 (multiplicity 1)

6.
A plane-wave DFT calculation with PBE was carried out for PmBeO3 after structural relaxation.

Computed properties:
The calculated total energy comes out at -7.16 eV per atom. Its calculated volume is 12.87 A^3/atom.

a = 5.4436 Å, b = 5.4436 Å, c = 15.0409 Å
α = 90.00°, β = 90.00°, γ = 120.00°
Space group R-3c (No. 167, hexagonal axes)
Unique sites:
Pm 0.0000 0.0000 0.0000 (multiplicity 6)
Be 0.0000 0.0000 0.2500 (multiplicity 6)
O 0.0000 0.2825 0.2500 (multiplicity 18)

7.
A plane-wave DFT calculation with PBE was carried out for SrTcB after structural relaxation.

Computed properties:
Its calculated volume is 23.57 A^3/atom. As for the distance to the lowest polymorph of the same formula: 1233 meV/atom.

a = 6.564 Å, b = 6.564 Å, c = 6.564 Å
α = 90.00°, β = 90.00°, γ = 90.00°
Space group F-43m (No. 216)
Unique sites:
Sr 0.000 0.000 0.000 (multiplicity 4)
Tc 0.250 0.250 0.250 (multiplicity 4)
B 0.250 0.250 0.750 (multiplicity 4)

8.
A plane-wave DFT calculation with PBE was carried out for BaGdAgO3 after structural relaxation.

Computed properties:
The calculated total energy comes out at -6.29 eV per atom. Its calculated volume is 18.01 A^3/atom.

a = 3.697 Å, b = 13.131 Å, c = 8.906 Å
α = 90.00°, β = 90.00°, γ = 90.00°
Space group Cmcm (No. 63)
Unique sites:
Ba 0.000 0.189 0.250 (multiplicity 4)
Gd 0.000 0.500 0.000 (multiplicity 4)
Ag 0.000 0.103 0.750 (multiplicity 4)
O 0.000 0.112 0.518 (multiplicity 8)
O 0.000 0.447 0.750 (multiplicity 4)